# 1
A relaxed structure of CeSmLuZn. Source: Alexandria, functional PBE.

Cell and atoms, written as extended XYZ:
```
4
Lattice="5.336 0.000 0.000 2.668 4.621 0.000 2.668 1.540 4.357" Properties=species:S:1:pos:R:3 pbc="T T T"
Zn 0.000 0.000 0.000
Sm 2.668 1.540 1.089
Lu 5.336 3.081 2.178
Ce 8.004 4.621 3.268
```

## Properties
Total magnetization ... 0.3303 μB/atom
DOS at the Fermi energy ... 7.68 states/eV/f.u.
Formation enthalpy at 0 K ... 4.7 kJ per mole of atoms
Space-group type ... No. 216

# 2
A relaxed structure of KWSe2. Source: Alexandria, functional PBE.

Cell and atoms, written as extended XYZ:
```
4
Lattice="6.198 -0.038 0.004 1.601 5.987 -0.004 -2.530 -4.770 3.043" Properties=species:S:1:pos:R:3 pbc="T T T"
Se 3.387 2.584 0.000
Se 0.512 0.391 0.000
W 1.486 2.096 1.519
K 3.784 -0.917 1.524
```

## Properties
Total magnetization ... 0.0001 μB/atom
DOS at the Fermi energy ... 2.13 states/eV/f.u.
Formation energy without anion corrections ... -0.0756 eV/atom
Space-group type ... No. 71
ΔE to the lowest computed polymorph ... 248.2 meV/atom

# 3
A relaxed structure of Y2MnIn. Source: Alexandria, functional PBE.

Cell and atoms, written as extended XYZ:
```
8
Lattice="8.043 0.000 0.000 0.000 8.043 0.000 4.022 4.022 2.979" Properties=species:S:1:pos:R:3 pbc="T T T"
Y 6.033 6.535 2.234
Y 2.513 6.033 0.745
Y 10.054 9.552 2.234
Y 5.530 2.011 0.745
Mn 4.022 8.043 1.489
Mn 4.022 4.022 0.000
In 0.000 0.000 0.000
In 8.043 4.022 1.489
```

## Properties
Total magnetization ... 0.0007 μB/atom
DOS at the Fermi energy ... 3.47 states/eV/f.u.
Formation enthalpy at 0 K ... 37.8 kJ per mole of atoms
Space-group type ... No. 122

| no. | energy (eV per atom) |
| --- | --- |
| 1 | -4.06 |
| 2 | -5.33 |
| 3 | -5.82 |